Record 1
Here is crystalline La3MnV at its relaxed geometry from Alexandria. Energies are from GGA-PBE.

Cell: 5.265 5.265 5.265 Å, 90.00 90.00 90.00°
Sites, in units of the cell vectors:
Mn  0.000  0.000  0.000
La  0.000  0.500  0.000
La  0.000  0.000  0.500
La  0.500  0.000  0.000
V  0.500  0.500  0.500

## Properties
Total magnetization in μB/f.u.: 4.3

---

Record 2
Here is crystalline LaMnW3 at its relaxed geometry from Alexandria. Energies are from GGA-PBE.

Cell: 4.751 4.751 4.751 Å, 90.00 90.00 90.00°
Sites, in units of the cell vectors:
Mn  0.500  0.500  0.500
W  0.000  0.500  0.000
W  0.000  0.000  0.500
W  0.500  0.000  0.000
La  0.000  0.000  0.000

## Properties
Total magnetization in μB/f.u.: 0.0
Energy relative to the lowest polymorph listed for this composition in meV/atom: 2252.9

---

Record 3
Here is crystalline LaMn3W at its relaxed geometry from Alexandria. Energies are from GGA-PBE.

Cell: 4.761 4.761 4.761 Å, 90.00 90.00 90.00°
Sites, in units of the cell vectors:
Mn  0.000  0.500  0.000
Mn  0.000  0.000  0.500
Mn  0.500  0.000  0.000
W  0.000  0.000  0.000
La  0.500  0.500  0.500

## Properties
Total magnetization in μB/f.u.: 8.1
Energy relative to the lowest polymorph listed for this composition in meV/atom: 0.0

---

Record 4
Here is crystalline LaMnW3 at its relaxed geometry from Alexandria. Energies are from GGA-PBE.

Cell: 4.652 4.652 4.652 Å, 90.00 90.00 90.00°
Sites, in units of the cell vectors:
Mn  0.000  0.000  0.000
W  0.000  0.500  0.000
W  0.000  0.000  0.500
W  0.500  0.000  0.000
La  0.500  0.500  0.500

## Properties
Total magnetization in μB/f.u.: 1.6
Energy relative to the lowest polymorph listed for this composition in meV/atom: 0.0

---

Record 5
Here is crystalline La4MnW at its relaxed geometry from Alexandria. Energies are from GGA-PBE.

Cell: 6.245 6.245 6.245 Å, 60.00 60.00 60.00°
Sites, in units of the cell vectors:
La  0.877  0.374  0.374
La  0.374  0.374  0.877
La  0.374  0.877  0.374
La  0.374  0.374  0.374
Mn  0.750  0.750  0.750
W  0.000  0.000  0.000

## Properties
Total magnetization in μB/f.u.: 4.7

---

Record 6
Here is crystalline La3MnW at its relaxed geometry from Alexandria. Energies are from GGA-PBE.

Cell: 5.583 5.583 5.583 Å, 90.00 90.00 90.00°
Sites, in units of the cell vectors:
Mn  0.500  0.500  0.500
W  0.000  0.000  0.000
La  0.000  0.500  0.000
La  0.000  0.000  0.500
La  0.500  0.000  0.000

## Properties
Total magnetization in μB/f.u.: 3.9
Energy relative to the lowest polymorph listed for this composition in meV/atom: 0.0

---

In order of appearance, energy = -30.505 -36.394 -41.546 -47.659 -34.953 -33.235 eV per formula unit.